Computed, not measured: a geometry-optimized Cr2CdP structure at the PBE-GGA level of DFT.

The structure in extended XYZ format:
```
4
Lattice="2.911 0.000 0.000 0.000 2.911 0.000 0.000 0.000 6.657" Properties=species:S:1:pos:R:3 pbc="T T T"
Cr 0.000 0.000 1.187
Cr 0.000 0.000 5.470
Cd 1.455 1.455 3.329
P 1.455 1.455 0.000
```

Summary:
**E_tot**: -6.321 eV per atom
**ΔE_f**: 72 meV per atom
**Energy above the lowest structure with this stoichiometry**: 0 meV per atom

---

Computed, not measured: a geometry-optimized Cr2CdP structure at the PBE-GGA level of DFT.

The structure in extended XYZ format:
```
8
Lattice="3.760 0.000 0.000 0.000 3.760 0.000 0.000 0.000 9.228" Properties=species:S:1:pos:R:3 pbc="T T T"
Cr 0.000 0.000 0.000
Cr 0.000 1.880 2.307
Cr 1.880 0.000 6.921
Cr 1.880 1.880 4.614
Cd 0.000 0.000 4.614
Cd 1.880 1.880 0.000
P 0.000 1.880 6.921
P 1.880 0.000 2.307
```

Summary:
**E_tot**: -5.913 eV per atom
**ΔE_f**: 480 meV per atom
**Energy above the lowest structure with this stoichiometry**: 408 meV per atom

---

Computed, not measured: a geometry-optimized CrCd4P structure at the PBE-GGA level of DFT.

The structure in extended XYZ format:
```
6
Lattice="0.000 4.017 4.017 4.017 0.000 4.017 4.017 4.017 0.000" Properties=species:S:1:pos:R:3 pbc="T T T"
Cr 0.000 0.000 0.000
Cd 3.013 3.013 3.013
Cd 5.021 5.021 3.013
Cd 5.021 3.013 5.021
Cd 3.013 5.021 5.021
P 6.026 6.026 6.026
```

Summary:
**E_tot**: -2.577 eV per atom
**ΔE_f**: 539 meV per atom

---

Computed, not measured: a geometry-optimized Cr2CdP structure at the PBE-GGA level of DFT.

The structure in extended XYZ format:
```
8
Lattice="3.088 0.000 0.000 0.000 4.322 0.000 0.000 0.000 9.625" Properties=species:S:1:pos:R:3 pbc="T T T"
Cr 0.000 0.000 0.000
Cr 0.000 2.161 1.803
Cr 1.544 0.000 1.803
Cr 1.544 2.161 0.000
Cd 0.000 2.161 7.210
Cd 1.544 0.000 7.210
P 0.000 0.000 3.563
P 1.544 2.161 3.563
```

Summary:
**E_tot**: -6.071 eV per atom
**ΔE_f**: 322 meV per atom
**Energy above the lowest structure with this stoichiometry**: 249 meV per atom

---

Computed, not measured: a geometry-optimized Cr2Cd2P structure at the PBE-GGA level of DFT.

The structure in extended XYZ format:
```
10
Lattice="5.862 0.000 0.000 0.000 5.862 0.000 0.000 0.000 4.663" Properties=species:S:1:pos:R:3 pbc="T T T"
Cr 0.787 2.144 0.000
Cr 2.144 5.075 0.000
Cr 3.719 0.787 0.000
Cr 5.075 3.719 0.000
Cd 1.001 3.932 2.331
Cd 1.930 1.001 2.331
Cd 3.932 4.862 2.331
Cd 4.862 1.930 2.331
P 0.000 0.000 0.000
P 2.931 2.931 0.000
```

Summary:
**E_tot**: -5.193 eV per atom
**ΔE_f**: 104 meV per atom
**Energy above the lowest structure with this stoichiometry**: 0 meV per atom

---

Computed, not measured: a geometry-optimized CrCdP2 structure at the PBE-GGA level of DFT.

The structure in extended XYZ format:
```
8
Lattice="3.265 0.000 0.000 0.000 4.322 0.000 0.000 0.000 9.650" Properties=species:S:1:pos:R:3 pbc="T T T"
Cr 0.000 0.000 0.000
Cr 1.633 2.161 0.000
Cd 0.000 2.161 2.328
Cd 1.633 0.000 2.328
P 0.000 0.000 4.692
P 0.000 2.161 8.032
P 1.633 0.000 8.032
P 1.633 2.161 4.692
```

Summary:
**E_tot**: -4.873 eV per atom
**ΔE_f**: 467 meV per atom